DFT (PBE with a Hubbard U) results for crystalline PmCrB2O6 at its relaxed geometry.

Cell and atoms, written as POSCAR:
```
PmCrB2O6
1.0
2.436 1.406 5.354
-2.436 1.406 5.354
0.000 -2.812 5.354
Pm Cr B O
1 1 2 6
direct
0.000 0.000 0.000
0.500 0.500 0.500
0.238 0.238 0.238
0.762 0.762 0.762
0.060 0.720 0.495
0.280 0.505 0.940
0.495 0.060 0.720
0.505 0.940 0.280
0.720 0.495 0.060
0.940 0.280 0.505
```

- DOS(E_F) (states/eV per atom) = 0.00
- ρ (Mg/m³) = 4.75
- space group = R-3 (148)
- raw total energy (eV/cell) = -81.66